A plane-wave DFT calculation with PBE with a Hubbard U was carried out for a relaxed KVPtO4 crystal.

Cell: 6.0151 6.0151 6.9085 Å, 90.00 90.00 109.38°
With the nearest neighbours (Å) after each atom.
Fractional coordinates of all 14 atoms:
O  0.7979  0.7987  0.7500  1 V 1.76
O  0.7903  0.2097  0.9606  1 V 1.76
O  0.2097  0.7903  0.0394  1 V 1.76
O  0.2097  0.7903  0.4606  1 V 1.76
O  0.2021  0.2013  0.2500  1 V 1.76
O  0.7987  0.7979  0.2500  1 V 1.76
O  0.2013  0.2021  0.7500  1 V 1.76
O  0.7903  0.2097  0.5394  1 V 1.76
V  0.8914  0.1086  0.7500  4 O 1.76
V  0.1086  0.8914  0.2500  4 O 1.76
K  0.5000  0.5000  0.0000  6 O 2.70-2.86
K  0.5000  0.5000  0.5000  6 O 2.70-2.86
Pt  0.8184  0.1816  0.2500  2 O 2.02
Pt  0.1816  0.8184  0.7500  2 O 2.02

Properties
Uncorrected energy (eV/cell): -85.58
D(E_F) (states/eV per cell): 3.90
Symmetry: No. 63

A plane-wave DFT calculation with PBE with a Hubbard U was carried out for a relaxed K2VPtO4 crystal.

Cell: 5.5091 5.5091 5.5091 Å, 105.16 111.67 111.67°
With the nearest neighbours (Å) after each atom.
Fractional coordinates of all 8 atoms:
O  0.6818  0.4763  0.5518  1 V 1.84
O  0.0755  0.2055  0.5237  1 V 1.84
O  0.3182  0.8700  0.7945  1 V 1.84
O  0.9245  0.4482  0.1300  1 V 1.84
K  0.5000  0.7500  0.2500  4 O 2.69
K  0.0000  0.0000  0.0000  4 O 2.61
V  0.0000  0.5000  0.5000  4 O 1.84
Pt  0.5000  0.2500  0.7500  4 O 2.08

Properties
Uncorrected energy (eV/cell): -46.55
Symmetry: No. 82